The following is a DFT calculation (PBE-GGA) of a geometry-optimized LiAcS structure.

The calculation puts the density at 6.50 g/cm³. The total magnetization comes out at 0.000 μB per formula unit. The calculation puts the energy above the most stable polymorph in this dataset at 0.0280 eV per atom. The calculation puts the raw formation energy at -1.175 eV per atom. Its density of states at the Fermi level is 0.5 states/eV per cell. For the final energy, the calculation gives -4.559 eV per atom.

It has space group P-6m2 (No. 187), with a = 4.0625 Å, b = 4.0625 Å, c = 4.7578 Å, α = 90.00°, β = 90.00° and γ = 120.00°. The inequivalent atoms are Li at (0.0000, 0.0000, 0.0000), Ac at (0.3333, 0.6667, 0.5000) and S at (0.6667, 0.3333, 0.0000).

***

The following is a DFT calculation (PBE-GGA) of a geometry-optimized CaZrCo2 structure.

The value obtained for the energy relative to the elements is 0.160 eV/atom. The calculation puts the density at 5.23 g/cm³. The total magnetization comes out at 0.000 μB per formula unit. Its density of states at the Fermi level is 11.6 states/eV per cell. For the final energy, the calculation gives -6.030 eV per atom.

It has space group R-3m (No. 166, hexagonal axes), with a = 4.2801 Å, b = 4.2801 Å, c = 14.9527 Å, α = 90.00°, β = 90.00° and γ = 120.00°. The inequivalent atoms are Ca at (0.0000, 0.0000, 0.0000), Zr at (0.0000, 0.0000, 0.5000) and Co at (0.0000, 0.0000, 0.2031).

***

The following is a DFT calculation (PBE-GGA) of a geometry-optimized SrScTe2H structure.

The calculation puts the density at 4.80 g/cm³. The total magnetization comes out at 0.000 μB per formula unit. Its density of states at the Fermi level is 0.0 states/eV per cell. For the final energy, the calculation gives -4.617 eV per atom.

It has space group P4/mmm (No. 123), with a = 5.706 Å, b = 5.706 Å, c = 4.129 Å, α = 90.00°, β = 90.00° and γ = 90.00°. The inequivalent atoms are Sr at (0.000, 0.000, 0.000), Sc at (0.500, 0.500, 0.500), Te at (0.000, 0.500, 0.500) and H at (0.500, 0.500, 0.000).

***

The following is a DFT calculation (PBE-GGA) of a geometry-optimized TiIn3As structure.

The value obtained for the energy relative to the elements is 0.838 eV/atom. The calculation puts the density at 5.31 g/cm³. The total magnetization comes out at 0.000 μB per formula unit. The calculation puts the energy above the most stable polymorph in this dataset at 0.1043 eV per atom. Its density of states at the Fermi level is 10.3 states/eV per cell. For the final energy, the calculation gives -3.314 eV per atom.

It has space group Pm-3m (No. 221), with a = 5.266 Å, b = 5.266 Å, c = 5.266 Å, α = 90.00°, β = 90.00° and γ = 90.00°. The inequivalent atoms are Ti at (0.000, 0.000, 0.000), In at (0.000, 0.500, 0.500) and As at (0.500, 0.500, 0.500).